# PmCo3Ru4O12 (PBE+U, optimized geometry)
# VASP energy = -7.053 eV per atom
# magnetic moment = 0.096 μB/atom
data_PmCo3Ru4O12
_chemical_formula_sum 'Pm1 Co3 Ru4 O12'
_cell_length_a 6.5563
_cell_length_b 6.5563
_cell_length_c 6.5563
_cell_angle_alpha 109.47
_cell_angle_beta 109.47
_cell_angle_gamma 109.47
_symmetry_space_group_name_H-M 'P 1'
_symmetry_Int_Tables_number 1
loop_
_symmetry_equiv_pos_as_xyz
'x,y,z'
loop_
_atom_site_label
_atom_site_type_symbol
_atom_site_fract_x
_atom_site_fract_y
_atom_site_fract_z
_atom_site_occupancy
Pm1 Pm 0.0000 0.0000 0.0000 1
Co1 Co 0.0000 0.5000 0.5000 1
Co2 Co 0.5000 0.5000 0.0000 1
Co3 Co 0.5000 0.0000 0.5000 1
Ru1 Ru 0.5000 0.0000 0.0000 1
Ru2 Ru 0.5000 0.5000 0.5000 1
Ru3 Ru 0.0000 0.5000 0.0000 1
Ru4 Ru 0.0000 0.0000 0.5000 1
O1 O 0.3050 0.8269 0.1319 1
O2 O 0.6950 0.1731 0.8681 1
O3 O 0.6950 0.8269 0.5219 1
O4 O 0.8681 0.6950 0.1731 1
O5 O 0.8269 0.1319 0.3050 1
O6 O 0.1731 0.4781 0.3050 1
O7 O 0.4781 0.3050 0.1731 1
O8 O 0.1731 0.8681 0.6950 1
O9 O 0.3050 0.1731 0.4781 1
O10 O 0.1319 0.3050 0.8269 1
O11 O 0.8269 0.5219 0.6950 1
O12 O 0.5219 0.6950 0.8269 1